Record 1
Entry from Alexandria: a relaxed structure of CrAg3O (GGA+U).

Properties
**Offset from the most stable computed form**: 0 meV per atom
**Symmetry**: Pm-3m, No. 221
**DFT total energy**: -3.94 eV/atom

Cell lengths 4.5093, 4.5093, 4.5093 Å; angles 90.00, 90.00, 90.00 degrees
Closest atoms and distances in Å follow each position.
Sites, in units of the cell vectors:
O  0.0000  0.0000  0.0000  6 Ag 2.25
Ag  0.0000  0.0000  0.5000  2 O 2.25
Ag  0.5000  0.0000  0.0000  2 O 2.25
Ag  0.0000  0.5000  0.0000  2 O 2.25
Cr  0.5000  0.5000  0.5000  12 Ag 3.19


Record 2
Entry from Alexandria: a relaxed structure of CrAg3O6 (GGA+U).

Properties
**Symmetry**: Cmc2_1, No. 36
**DFT total energy**: -5.03 eV/atom

Cell lengths 5.7403, 7.1615, 7.1615 Å; angles 102.44, 90.00, 90.00 degrees
Closest atoms and distances in Å follow each position.
Sites, in units of the cell vectors:
O  0.9857  0.0152  0.9848  1 Cr 1.66
O  0.2593  0.6525  0.6699  2 Ag 2.06-2.07
O  0.1364  0.0601  0.6346  1 Cr 1.69
O  0.6364  0.9399  0.3654  1 Cr 1.69
O  0.2175  0.7844  0.2156  1 Cr 1.68
O  0.7175  0.2156  0.7844  1 Cr 1.68
O  0.1364  0.3654  0.9399  1 Cr 1.69
O  0.2593  0.3301  0.3475  2 Ag 2.06-2.07
O  0.4857  0.9848  0.0152  1 Cr 1.66
O  0.7593  0.3475  0.3301  2 Ag 2.06-2.07
O  0.7593  0.6699  0.6525  2 Ag 2.06-2.07
O  0.6364  0.6346  0.0601  1 Cr 1.69
Cr  0.4928  0.8360  0.1640  4 O 1.66-1.69
Cr  0.9928  0.1640  0.8360  4 O 1.66-1.69
Ag  0.4928  0.9192  0.6701  6 O 2.32-2.47
Ag  0.5122  0.4718  0.5282  4 O 2.06-2.07
Ag  0.4928  0.3299  0.0808  6 O 2.32-2.47
Ag  0.0122  0.5282  0.4718  4 O 2.06-2.07
Ag  0.9928  0.0808  0.3299  6 O 2.32-2.47
Ag  0.9928  0.6701  0.9192  6 O 2.32-2.47